# Sm8Se3S4N

Crystalline Sm8Se3S4N at its relaxed geometry (PBE, the Alexandria database).

Results
E_form (uncorrected)   -1.8482 eV per atom
V   23.21 Å³/atom
Total DFT energy (no corrections)   -102.61 eV per cell

The structure in CIF format:
```
data_Sm8Se3S4N
_symmetry_space_group_name_H-M 'P 1'
_symmetry_Int_Tables_number 1
_cell_length_a 8.0323
_cell_length_b 8.0323
_cell_length_c 8.0323
_cell_angle_alpha 60.60
_cell_angle_beta 60.60
_cell_angle_gamma 60.60
loop_
_symmetry_equiv_pos_as_xyz
'x,y,z'
loop_
_atom_site_label
_atom_site_type_symbol
_atom_site_fract_x
_atom_site_fract_y
_atom_site_fract_z
Sm1 Sm 0.2175 0.7726 0.7726
Sm2 Sm 0.2274 0.2274 0.7825
Sm3 Sm 0.2274 0.7825 0.2274
Sm4 Sm 0.2434 0.2434 0.2434
Sm5 Sm 0.7566 0.7566 0.7566
Sm6 Sm 0.7726 0.2175 0.7726
Sm7 Sm 0.7726 0.7726 0.2175
Sm8 Sm 0.7825 0.2274 0.2274
Se1 Se 0.0000 0.5000 0.5000
Se2 Se 0.5000 0.0000 0.5000
Se3 Se 0.5000 0.5000 0.0000
S1 S 0.0000 0.0000 0.5000
S2 S 0.0000 0.5000 0.0000
S3 S 0.5000 0.0000 0.0000
S4 S 0.5000 0.5000 0.5000
N1 N 0.0000 0.0000 0.0000
```

# Sm6Se3SN2

Crystalline Sm6Se3SN2 at its relaxed geometry (PBE, the Alexandria database).

Results
E_form (uncorrected)   -1.7284 eV per atom
V   21.87 Å³/atom
Total DFT energy (no corrections)   -80.29 eV per cell

The structure in CIF format:
```
data_Sm6Se3SN2
_symmetry_space_group_name_H-M 'P 1'
_symmetry_Int_Tables_number 1
_cell_length_a 6.7196
_cell_length_b 6.7196
_cell_length_c 7.0729
_cell_angle_alpha 99.12
_cell_angle_beta 99.12
_cell_angle_gamma 119.94
loop_
_symmetry_equiv_pos_as_xyz
'x,y,z'
loop_
_atom_site_label
_atom_site_type_symbol
_atom_site_fract_x
_atom_site_fract_y
_atom_site_fract_z
Sm1 Sm 0.0752 0.4308 0.7921
Sm2 Sm 0.2126 0.2126 0.2043
Sm3 Sm 0.4308 0.0752 0.7921
Sm4 Sm 0.5692 0.9248 0.2079
Sm5 Sm 0.7874 0.7874 0.7957
Sm6 Sm 0.9248 0.5692 0.2079
Se1 Se 0.0000 0.0000 0.5000
Se2 Se 0.3396 0.6604 0.5000
Se3 Se 0.6604 0.3396 0.5000
S1 S 0.5000 0.5000 0.0000
N1 N 0.1673 0.8327 0.0000
N2 N 0.8327 0.1673 0.0000
```

# Sm6SeS2N3

Crystalline Sm6SeS2N3 at its relaxed geometry (PBE, the Alexandria database).

Results
E_form (uncorrected)   -1.7282 eV per atom
V   19.81 Å³/atom
Total DFT energy (no corrections)   -85.77 eV per cell

The structure in CIF format:
```
data_Sm6SeS2N3
_symmetry_space_group_name_H-M 'P 1'
_symmetry_Int_Tables_number 1
_cell_length_a 8.6822
_cell_length_b 8.6822
_cell_length_c 7.8165
_cell_angle_alpha 106.45
_cell_angle_beta 106.45
_cell_angle_gamma 24.93
loop_
_symmetry_equiv_pos_as_xyz
'x,y,z'
loop_
_atom_site_label
_atom_site_type_symbol
_atom_site_fract_x
_atom_site_fract_y
_atom_site_fract_z
Sm1 Sm 0.0100 0.0100 0.2220
Sm2 Sm 0.3221 0.3221 0.4376
Sm3 Sm 0.3413 0.3413 0.8962
Sm4 Sm 0.6587 0.6587 0.1038
Sm5 Sm 0.6779 0.6779 0.5624
Sm6 Sm 0.9900 0.9900 0.7780
Se1 Se 0.5000 0.5000 0.5000
S1 S 0.1664 0.1664 0.8322
S2 S 0.8336 0.8336 0.1678
N1 N 0.1670 0.1670 0.3311
N2 N 0.5000 0.5000 0.0000
N3 N 0.8330 0.8330 0.6689
```

# SnSeS2N

Crystalline SnSeS2N at its relaxed geometry (PBE, the Alexandria database).

Results
E_form (uncorrected)   0.7509 eV per atom
Relative energy among the computed polymorphs   0 meV per atom
V   19.24 Å³/atom
Total DFT energy (no corrections)   -20.31 eV per cell

The structure in CIF format:
```
data_SnSeS2N
_symmetry_space_group_name_H-M 'P 1'
_symmetry_Int_Tables_number 1
_cell_length_a 5.0267
_cell_length_b 5.0267
_cell_length_c 3.8066
_cell_angle_alpha 90.00
_cell_angle_beta 90.00
_cell_angle_gamma 90.00
loop_
_symmetry_equiv_pos_as_xyz
'x,y,z'
loop_
_atom_site_label
_atom_site_type_symbol
_atom_site_fract_x
_atom_site_fract_y
_atom_site_fract_z
Sn1 Sn 0.0000 0.0000 0.0000
Se1 Se 0.5000 0.5000 0.5000
S1 S 0.0000 0.5000 0.5000
S2 S 0.5000 0.0000 0.5000
N1 N 0.5000 0.5000 0.0000
```

Which of these has the lowest E_form (uncorrected)?
Sm8Se3S4N